Record 1
This record from Alexandria via LeMat-Bulk describes crystalline Tb4YN5 at its relaxed geometry. The functional is GGA-PBE.

The structure in CIF format:
```
data_Tb4YN5
_chemical_formula_sum 'Tb8 Y2 N10'
_cell_length_a 3.495
_cell_length_b 3.495
_cell_length_c 24.704
_cell_angle_alpha 90.00
_cell_angle_beta 90.00
_cell_angle_gamma 90.00
_space_group_name_H-M_alt 'I 4/m m m'
_space_group_IT_number 139
_space_group_name_Hall '-I 4 2'
loop_
_atom_site_label
_atom_site_fract_x
_atom_site_fract_y
_atom_site_fract_z
Tb1 0.000 0.000 0.100
Tb2 0.000 0.000 0.300
Y1 0.000 0.000 0.500
N1 0.000 0.000 0.000
N2 0.000 0.000 0.200
N3 0.000 0.000 0.400
```

Record 2
This record from Alexandria via LeMat-Bulk describes crystalline Cs3Tb3CrSe8 at its relaxed geometry. The functional is GGA-PBE.

The structure in CIF format:
```
data_Cs3Tb3CrSe8
_chemical_formula_sum 'Cs9 Tb9 Cr3 Se24'
_cell_length_a 8.2047
_cell_length_b 8.2047
_cell_length_c 25.8548
_cell_angle_alpha 90.00
_cell_angle_beta 90.00
_cell_angle_gamma 120.00
_space_group_name_H-M_alt 'R -3 m'
_space_group_IT_number 166
_space_group_name_Hall '-R 3 2"'
loop_
_atom_site_label
_atom_site_fract_x
_atom_site_fract_y
_atom_site_fract_z
Cs1 0.0000 0.5000 0.0000
Tb1 0.0000 0.5000 0.5000
Cr1 0.0000 0.0000 0.5000
Se1 0.0000 0.0000 0.2295
Se2 0.0288 0.5144 0.2246
```

We obtain total energy values of -8.330; -5.003 eV per atom for the records listed above, in that order.
We obtain uncorrected formation energy values of -1.668; -1.407 eV per atom for the records listed above, in that order.